[1]
DFT (PBE-GGA) results for Ta4Re2W after structural relaxation.

Cell lengths 6.357, 6.357, 6.336 Å; angles 90.00, 90.00, 90.00 degrees
Sites, in units of the cell vectors:
Ta: 0.250 0.250 0.250
Ta: 0.250 0.250 0.750
Ta: 0.250 0.750 0.250
Ta: 0.250 0.750 0.750
Ta: 0.750 0.250 0.250
Ta: 0.750 0.250 0.750
Ta: 0.750 0.750 0.250
Ta: 0.750 0.750 0.750
Re: 0.000 0.500 0.000
Re: 0.000 0.500 0.500
Re: 0.500 0.000 0.000
Re: 0.500 0.000 0.500
W: 0.000 0.000 0.000
W: 0.500 0.500 0.500

## Properties
As for the density: 16.6 Mg/m³. As for the space group: No. 139. Its relative energy among the computed polymorphs is 0 meV/atom. As for the density of states at the Fermi level: 5.4 states/eV/f.u. The calculation puts the raw total energy at -12.148 eV/atom. The calculation puts the formation enthalpy at 0 K at 0.032 eV/atom.

---

[2]
DFT (PBE-GGA) results for NbNiSn2C after structural relaxation.

Cell lengths 4.600, 4.600, 4.196 Å; angles 90.00, 90.00, 90.00 degrees
Sites, in units of the cell vectors:
Nb: 0.000 0.000 0.000
Ni: 0.500 0.500 0.000
Sn: 0.000 0.500 0.500
Sn: 0.500 0.000 0.500
C: 0.000 0.000 0.500

## Properties
As for the density: 7.5 Mg/m³. As for the space group: No. 123. As for the density of states at the Fermi level: 4.0 states/eV/f.u. The calculation puts the raw total energy at -5.889 eV/atom. The calculation puts the formation enthalpy at 0 K at 0.728 eV/atom.

---

[3]
DFT (PBE-GGA) results for HfHg2BiN after structural relaxation.

Cell lengths 5.780, 5.780, 5.561 Å; angles 90.00, 90.00, 90.00 degrees
Sites, in units of the cell vectors:
Hf: 0.000 0.000 0.000
Hg: 0.000 0.500 0.000
Hg: 0.500 0.000 0.000
Bi: 0.000 0.000 0.500
N: 0.500 0.500 0.500

## Properties
As for the density: 7.2 Mg/m³. As for the space group: No. 123. As for the energy relative to the elements, uncorrected: 130.59 kJ per mole of atoms. As for the density of states at the Fermi level: 2.4 states/eV/f.u. The calculation puts the raw total energy at -3.199 eV/atom.

---

[4]
DFT (PBE-GGA) results for ZrRh2W after structural relaxation.

Cell lengths 9.253, 2.880, 5.030 Å; angles 90.00, 100.10, 90.00 degrees
Sites, in units of the cell vectors:
Zr: 0.000 0.000 0.000
Zr: 0.500 0.500 0.000
Rh: 0.246 0.000 0.731
Rh: 0.254 0.500 0.269
Rh: 0.746 0.500 0.731
Rh: 0.754 0.000 0.269
W: 0.000 0.500 0.500
W: 0.500 0.000 0.500

## Properties
As for the density: 12.1 Mg/m³. As for the space group: No. 12. Its relative energy among the computed polymorphs is 259 meV/atom. As for the density of states at the Fermi level: 4.8 states/eV/f.u. The calculation puts the raw total energy at -9.147 eV/atom. The calculation puts the formation enthalpy at 0 K at -0.096 eV/atom.